Model w:
ScCrHg2 (PBEsol, relaxed); ρ = 10.91 Mg/m³; size of the total moment = 3.356 μB/f.u.; calculated volume = 75.82 Å³ per cell
1.0
4.338 0.000 0.000
0.000 4.338 0.000
0.000 0.000 4.029
Sc Cr Hg
1 1 2
Cartesian
0.000 0.000 0.000 Sc
2.169 2.169 0.000 Cr
0.000 2.169 2.014 Hg
2.169 0.000 2.014 Hg

=====

Model x:
ScCrHg2 (PBEsol, relaxed); ρ = 10.43 Mg/m³; size of the total moment = 3.608 μB/f.u.; calculated volume = 79.31 Å³ per cell
1.0
4.591 -1.659 0.000
4.591 1.659 0.000
-1.235 0.000 5.207
Sc Cr Hg
1 1 2
Cartesian
0.000 0.000 0.000 Sc
3.973 0.000 2.604 Cr
1.342 0.000 3.845 Hg
6.605 0.000 1.362 Hg

=====

Q: Which of them is the least stable? A: model x.

=====

Model w:
CrHg2W (PBEsol, relaxed); ρ = 15.67 Mg/m³; size of the total moment = 1.271 μB/f.u.; calculated volume = 67.49 Å³ per cell
1.0
-2.004 2.004 4.203
2.004 -2.004 4.203
2.004 2.004 -4.203
Cr Hg W
1 2 1
Cartesian
0.000 0.000 0.000 Cr
2.004 0.000 2.102 Hg
0.000 2.004 2.102 Hg
0.000 0.000 4.203 W

=====

Model x:
CrHg2W (PBEsol, relaxed); ρ = 15.75 Mg/m³; size of the total moment = 1.640 μB/f.u.; calculated volume = 67.17 Å³ per cell
1.0
-2.029 2.029 4.079
2.029 -2.029 4.079
2.029 2.029 -4.079
Cr Hg W
1 2 1
Cartesian
0.000 0.000 0.000 Cr
0.000 0.000 4.079 Hg
0.000 2.029 2.040 Hg
2.029 0.000 2.040 W

=====

Q: Which of them is the least stable? A: model x.

=====

Model w:
YCrHg2 (PBEsol, relaxed); ρ = 10.78 Mg/m³; size of the total moment = 3.736 μB/f.u.; calculated volume = 83.47 Å³ per cell
1.0
3.455 0.000 0.000
0.000 3.455 0.000
0.000 0.000 6.992
Y Cr Hg
1 1 2
Cartesian
0.000 0.000 0.000 Y
0.000 0.000 3.496 Cr
1.728 1.728 1.973 Hg
1.728 1.728 5.019 Hg

=====

Model x:
YCrHg2 (PBEsol, relaxed); ρ = 9.90 Mg/m³; size of the total moment = 4.194 μB/f.u.; calculated volume = 90.94 Å³ per cell
1.0
1.740 1.004 8.675
-1.740 1.004 8.675
0.000 -2.009 8.675
Y Cr Hg
1 1 2
Cartesian
0.000 0.000 0.000 Y
0.000 0.000 13.012 Cr
0.000 0.000 6.312 Hg
0.000 0.000 19.712 Hg

=====

Model y:
YCrHg2 (PBEsol, relaxed); ρ = 10.56 Mg/m³; size of the total moment = 3.652 μB/f.u.; calculated volume = 85.25 Å³ per cell
1.0
3.622 0.000 0.000
0.000 3.622 0.000
0.000 0.000 6.500
Y Cr Hg
1 1 2
Cartesian
0.000 0.000 0.000 Y
1.811 1.811 1.778 Cr
0.000 0.000 3.063 Hg
1.811 1.811 4.770 Hg

=====

Q: Which of them is the least stable? A: model x.

=====

Model w:
Y2CrHg (PBEsol, relaxed); ρ = 7.39 Mg/m³; size of the total moment = 3.238 μB/f.u.; calculated volume = 96.71 Å³ per cell
1.0
1.761 1.017 9.000
-1.761 1.017 9.000
0.000 -2.034 9.000
Y Cr Hg
2 1 1
Cartesian
0.000 0.000 6.624 Y
0.000 0.000 20.375 Y
0.000 0.000 13.500 Cr
0.000 0.000 0.000 Hg

=====

Model x:
Y2CrHg (PBEsol, relaxed); ρ = 7.63 Mg/m³; size of the total moment = 3.206 μB/f.u.; calculated volume = 93.61 Å³ per cell
1.0
5.679 -1.766 0.000
5.679 1.766 0.000
-1.720 0.000 4.667
Y Cr Hg
2 1 1
Cartesian
0.000 0.000 0.000 Y
1.312 0.000 3.180 Y
4.413 0.000 2.196 Cr
8.247 0.000 0.994 Hg

=====

Q: Which of them is the least stable? A: model w.

=====

Model w:
Zn2CrHg (PBEsol, relaxed); ρ = 10.08 Mg/m³; size of the total moment = 3.386 μB/f.u.; calculated volume = 63.15 Å³ per cell
1.0
4.163 0.000 0.000
0.000 1.449 5.234
0.000 -1.449 5.234
Zn Cr Hg
2 1 1
Cartesian
0.000 0.000 0.000 Zn
2.081 0.000 1.367 Zn
0.000 0.000 7.603 Cr
2.081 0.000 3.994 Hg

=====

Model x:
Zn2CrHg (PBEsol, relaxed); ρ = 10.38 Mg/m³; size of the total moment = 0.001 μB/f.u.; calculated volume = 61.34 Å³ per cell
1.0
1.390 0.802 9.166
-1.390 0.802 9.166
0.000 -1.605 9.166
Zn Cr Hg
2 1 1
Cartesian
0.000 0.000 6.595 Zn
0.000 0.000 20.905 Zn
0.000 0.000 13.750 Cr
0.000 0.000 0.000 Hg

=====

Q: Which of them is the least stable? A: model x.

=====

Model w:
CrInIO2 (PBEsol, relaxed); ρ = 6.40 Mg/m³; size of the total moment = 2.375 μB/f.u.; calculated volume = 84.56 Å³ per cell
1.0
3.978 0.000 0.000
0.000 3.978 0.000
0.000 0.000 5.343
Cr In I O
1 1 1 2
Cartesian
0.000 0.000 0.000 Cr
1.989 1.989 2.671 In
0.000 0.000 2.671 I
0.000 1.989 0.000 O
1.989 0.000 0.000 O

=====

Model x:
CrInIO2 (PBEsol, relaxed); ρ = 5.27 Mg/m³; size of the total moment = 5.247 μB/f.u.; calculated volume = 102.61 Å³ per cell
1.0
4.058 0.000 0.000
0.000 4.058 0.000
0.000 0.000 6.231
Cr In I O
1 1 1 2
Cartesian
0.000 0.000 0.000 Cr
2.029 2.029 3.116 In
2.029 2.029 0.000 I
0.000 2.029 3.116 O
2.029 0.000 3.116 O

=====

Q: Which of them is the least stable? A: model x.

=====

Model w:
CrSbI2N (PBEsol, relaxed); ρ = 4.91 Mg/m³; size of the total moment = 5.537 μB/f.u.; calculated volume = 149.49 Å³ per cell
1.0
5.424 0.000 0.000
0.000 5.424 0.000
0.000 0.000 5.081
Cr Sb I N
1 1 2 1
Cartesian
0.000 0.000 0.000 Cr
0.000 0.000 2.541 Sb
0.000 2.712 0.000 I
2.712 0.000 0.000 I
2.712 2.712 2.541 N

=====

Model x:
CrSbI2N (PBEsol, relaxed); ρ = 6.50 Mg/m³; size of the total moment = 2.104 μB/f.u.; calculated volume = 112.75 Å³ per cell
1.0
5.595 0.000 0.000
0.000 5.595 0.000
0.000 0.000 3.602
Cr Sb I N
1 1 2 1
Cartesian
0.000 0.000 0.000 Cr
2.797 2.797 1.801 Sb
0.000 2.797 0.000 I
2.797 0.000 0.000 I
0.000 0.000 1.801 N

=====

Q: Which of them is the least stable? A: model w.

=====

Model w:
CrIO2 (PBEsol, relaxed); ρ = 7.11 Mg/m³; size of the total moment = 2.613 μB/f.u.; calculated volume = 49.26 Å³ per cell
1.0
0.000 2.909 2.909
2.909 0.000 2.909
2.909 2.909 0.000
Cr I O
1 1 2
Cartesian
0.000 0.000 0.000 Cr
2.909 2.909 2.909 I
1.455 1.455 1.455 O
4.364 4.364 4.364 O

=====

Model x:
CrIO2 (PBEsol, relaxed); ρ = 5.11 Mg/m³; size of the total moment = 2.104 μB/f.u.; calculated volume = 68.52 Å³ per cell
1.0
1.501 0.867 8.777
-1.501 0.867 8.777
0.000 -1.733 8.777
Cr I O
1 1 2
Cartesian
0.000 0.000 0.000 Cr
0.000 0.000 13.165 I
0.000 0.000 9.666 O
0.000 0.000 16.665 O

=====

Q: Which of them is the least stable? A: model w.